Below is crystalline Li2YIn2 at its relaxed geometry, with properties calculated at the PBE level.

a = 8.2952 Å, b = 8.2952 Å, c = 3.3304 Å
α = 90.00°, β = 90.00°, γ = 90.00°
Atoms (fractional coordinates):
Li (0.1681, 0.3319, 0.0000)
Li (0.3319, 0.8319, 0.0000)
Li (0.6681, 0.1681, 0.0000)
Li (0.8319, 0.6681, 0.0000)
Y (0.0000, 0.0000, 0.5000)
Y (0.5000, 0.5000, 0.5000)
In (0.1302, 0.6302, 0.5000)
In (0.3698, 0.1302, 0.5000)
In (0.6302, 0.8698, 0.5000)
In (0.8698, 0.3698, 0.5000)

Properties
SG = P4/mbm
E_form = -0.208 eV per atom
polymorph energy (0 for the lowest one) = 0.113 eV/atom

Below is crystalline Dy5Si at its relaxed geometry, with properties calculated at the PBE level.

a = 7.6990 Å, b = 7.6990 Å, c = 4.7637 Å
α = 90.00°, β = 90.00°, γ = 144.72°
Atoms (fractional coordinates):
Dy (0.0000, 0.0000, 0.0000)
Dy (0.1558, 0.8442, 0.5000)
Dy (0.3371, 0.6629, 0.0000)
Dy (0.6629, 0.3371, 0.0000)
Dy (0.8442, 0.1558, 0.5000)
Si (0.5000, 0.5000, 0.5000)

Properties
ΔE_f (raw) = -0.134 eV per atom
SG = Cmmm

Below is crystalline TbSm3Tm2 at its relaxed geometry, with properties calculated at the PBE level.

a = 8.9570 Å, b = 8.9570 Å, c = 5.6013 Å
α = 90.00°, β = 90.00°, γ = 67.52°
Atoms (fractional coordinates):
Tb (0.2287, 0.7713, 0.7500)
Tb (0.7713, 0.2287, 0.2500)
Sm (0.1266, 0.3892, 0.2500)
Sm (0.3892, 0.1266, 0.7500)
Sm (0.4108, 0.5892, 0.2500)
Sm (0.5892, 0.4108, 0.7500)
Sm (0.6108, 0.8734, 0.2500)
Sm (0.8734, 0.6108, 0.7500)
Tm (0.0088, 0.2040, 0.7500)
Tm (0.2040, 0.0088, 0.2500)
Tm (0.7960, 0.9912, 0.7500)
Tm (0.9912, 0.7960, 0.2500)

Properties
SG = Cmcm
E_form = 0.300 eV per atom
polymorph energy (0 for the lowest one) = 0.298 eV/atom

Below is crystalline NaY2TlH at its relaxed geometry, with properties calculated at the PBE level.

a = 4.9054 Å, b = 4.9054 Å, c = 4.5820 Å
α = 90.00°, β = 90.00°, γ = 90.00°
Atoms (fractional coordinates):
Na (0.0000, 0.0000, 0.0000)
Y (0.0000, 0.5000, 0.5000)
Y (0.5000, 0.0000, 0.5000)
Tl (0.5000, 0.5000, 0.0000)
H (0.0000, 0.0000, 0.5000)

Properties
raw total energy = -4.22 eV per atom
SG = P4/mmm